Record 1
VASP calculation (GGA-PBE) on a relaxed AlRe7 crystal.

The space group is Fm-3m (No. 225) and the conventional cell measures 7.823, 7.823 and 7.823 Å, with angles of 90.00, 90.00 and 90.00 degrees. The distinct sites, in fractional coordinates, are Al at (0.000, 0.000, 0.000), Re at (0.000, 0.000, 0.500) and Re at (0.000, 0.250, 0.250).

The value obtained for the calculated formation energy is 146 meV per atom.

Record 2
VASP calculation (GGA-PBE) on a relaxed Sr4CaBe crystal.

The space group is F-43m (No. 216) and the conventional cell measures 10.515, 10.515 and 10.515 Å, with angles of 90.00, 90.00 and 90.00 degrees. The distinct sites, in fractional coordinates, are Sr at (0.125, 0.125, 0.125), Ca at (0.000, 0.000, 0.500) and Be at (0.250, 0.250, 0.750).

The value obtained for the calculated formation energy is 710 meV per atom.

Record 3
VASP calculation (GGA-PBE) on a relaxed CoSi2Ni crystal.

The space group is C2/m (No. 12) and the conventional cell measures 7.490, 2.682 and 4.619 Å, with angles of 90.00, 101.73 and 90.00 degrees. The distinct sites, in fractional coordinates, are Co at (0.000, 0.000, 0.000), Si at (0.248, 0.500, 0.240) and Ni at (0.000, 0.500, 0.500).

For the formation energy (no corrections), the calculation gives -0.35 eV per atom.

Record 4
VASP calculation (GGA-PBE) on a relaxed SmGe2Bi crystal.

The space group is P4/mmm (No. 123) and the conventional cell measures 4.771, 4.771 and 4.278 Å, with angles of 90.00, 90.00 and 90.00 degrees. The distinct sites, in fractional coordinates, are Sm at (0.000, 0.000, 0.000), Ge at (0.000, 0.500, 0.500) and Bi at (0.500, 0.500, 0.000).

The value obtained for the calculated formation energy is -345 meV per atom. The value obtained for the offset from the most stable computed form is 0.0 meV per atom.

Record 5
VASP calculation (GGA-PBE) on a relaxed Dy8Ge3PS4 crystal.

The space group is R-3m (No. 166, hexagonal axes) and the conventional cell measures 8.0641, 8.0641 and 19.6989 Å, with angles of 90.00, 90.00 and 120.00 degrees. The distinct sites, in fractional coordinates, are Dy at (0.0000, 0.0000, 0.2500), Dy at (0.0019, 0.5009, 0.2485), Ge at (0.0000, 0.5000, 0.5000), P at (0.0000, 0.0000, 0.5000), S at (0.0000, 0.0000, 0.0000) and S at (0.0000, 0.5000, 0.0000).

For the formation energy (no corrections), the calculation gives -1.57 eV per atom.

Record 6
VASP calculation (GGA-PBE) on a relaxed TaRh3 crystal.

The space group is Pm-3n (No. 223) and the conventional cell measures 4.978, 4.978 and 4.978 Å, with angles of 90.00, 90.00 and 90.00 degrees. The distinct sites, in fractional coordinates, are Ta at (0.000, 0.000, 0.000) and Rh at (0.000, 0.250, 0.500).

The value obtained for the calculated formation energy is -222 meV per atom.

Record 7
VASP calculation (GGA-PBE) on a relaxed NaPaTeO5 crystal.

The space group is C2/c (No. 15) and the conventional cell measures 8.399, 9.054 and 8.561 Å, with angles of 90.00, 118.44 and 90.00 degrees. The distinct sites, in fractional coordinates, are Na at (0.000, 0.065, 0.250), Pa at (0.250, 0.250, 0.000), Te at (0.000, 0.432, 0.250), O at (0.000, 0.240, 0.750), O at (0.086, 0.284, 0.149) and O at (0.247, 0.017, 0.025).

For the formation energy (no corrections), the calculation gives -2.24 eV per atom.

Record 8
VASP calculation (GGA-PBE) on a relaxed Zr5Sb3O crystal.

The space group is P6_3/mcm (No. 193) and the conventional cell measures 8.4057, 8.4057 and 5.8506 Å, with angles of 90.00, 90.00 and 120.00 degrees. The distinct sites, in fractional coordinates, are Zr at (0.0000, 0.2288, 0.2500), Zr at (0.3333, 0.6667, 0.0000), Sb at (0.0000, 0.4009, 0.7500) and O at (0.0000, 0.0000, 0.0000).

For the formation energy (no corrections), the calculation gives -1.09 eV per atom.